Computed, not measured: a geometry-optimized Sc2CdTc structure at the PBE level of DFT.

Summary:
Formation energy from the elements in meV per atom: 75.2
Calculated density in g cm⁻³: 6.53
Uncorrected energy in eV per atom: -5.9108

The structure in CIF format:
```
data_Sc2CdTc
_symmetry_space_group_name_H-M 'F -4 3 m'
_symmetry_Int_Tables_number 216
_symmetry_space_group_name_Hall 'F -4 2 3'
_cell_length_a 6.733
_cell_length_b 6.733
_cell_length_c 6.733
_cell_angle_alpha 90.00
_cell_angle_beta 90.00
_cell_angle_gamma 90.00
loop_
_atom_site_label
_atom_site_fract_x
_atom_site_fract_y
_atom_site_fract_z
Sc1 0.000 0.000 0.000
Sc2 0.250 0.250 0.250
Cd1 0.000 0.000 0.500
Tc1 0.250 0.250 0.750
```